Model P:
Compound: Sn4P3O12
Source: the Alexandria database
Functional: GGA-PBE
Structure: optimized geometry

Lattice parameters (Å, degrees): 9.9771 9.9771 25.1745 90.00 90.00 120.00
Space group R3c (No. 161, hexagonal axes)
Asymmetric unit:
Sn  0.0000  0.0000  0.0000 x6
Sn  0.1778  0.3914  0.3084 x18
P  0.0047  0.4867  0.1036 x18
O  0.0006  0.1754  0.4516 x18
O  0.0125  0.4490  0.5490 x18
O  0.0189  0.2256  0.7666 x18
O  0.0902  0.3621  0.9807 x18

Properties
Size of the total moment ... 0.06 μB per atom
DOS at the Fermi energy ... 0.657 states/eV/atom
Theoretical density ... 3.49 g cm⁻³

Model Q:
Compound: Sn4P3O12
Source: the Alexandria database
Functional: GGA-PBE
Structure: optimized geometry

Lattice parameters (Å, degrees): 9.8513 9.8513 7.1985 90.00 90.00 120.00
Space group P6_3 (No. 173)
Asymmetric unit:
Sn  0.0325  0.2691  0.0000 x6
Sn  0.3333  0.6667  0.6606 x2
P  0.0195  0.6075  0.9567 x6
O  0.0547  0.7032  0.7722 x6
O  0.0906  0.7301  0.1150 x6
O  0.1039  0.5099  0.9380 x6
O  0.1598  0.4998  0.4833 x6

Properties
Size of the total moment ... 0.05 μB per atom
DOS at the Fermi energy ... 0.081 states/eV/atom
Theoretical density ... 4.17 g cm⁻³

Which one sits at the bottom of the stability order? model P does.

Model P:
Compound: SrSnP2O
Source: the Alexandria database
Functional: GGA-PBE
Structure: optimized geometry

Lattice parameters (Å, degrees): 5.240 5.240 4.112 90.00 90.00 90.00
Space group P4/mmm (No. 123)
Asymmetric unit:
Sr  0.000  0.000  0.000 x1
Sn  0.500  0.500  0.500 x1
P  0.000  0.500  0.500 x2
O  0.500  0.500  0.000 x1

Properties
Size of the total moment ... 0.29 μB per atom
DOS at the Fermi energy ... 1.051 states/eV/atom
Theoretical density ... 4.18 g cm⁻³

Model Q:
Compound: SrSnP2O
Source: the Alexandria database
Functional: GGA-PBE
Structure: optimized geometry

Lattice parameters (Å, degrees): 5.640 5.640 4.377 90.00 90.00 90.00
Space group P4/mmm (No. 123)
Asymmetric unit:
Sr  0.000  0.000  0.000 x1
Sn  0.500  0.500  0.500 x1
P  0.000  0.500  0.000 x2
O  0.000  0.000  0.500 x1

Properties
Size of the total moment ... 0.57 μB per atom
DOS at the Fermi energy ... 0.952 states/eV/atom
Theoretical density ... 3.39 g cm⁻³

Which one sits at the bottom of the stability order? model Q does.

Model P:
Compound: SnTeP2O
Source: the Alexandria database
Functional: GGA-PBE
Structure: optimized geometry

Lattice parameters (Å, degrees): 5.175 5.175 3.924 90.00 90.00 90.00
Space group P4/mmm (No. 123)
Asymmetric unit:
Sn  0.000  0.000  0.000 x1
Te  0.500  0.500  0.500 x1
P  0.000  0.500  0.000 x2
O  0.000  0.000  0.500 x1

Properties
Size of the total moment ... 0.00 μB per atom
DOS at the Fermi energy ... 0.591 states/eV/atom
Theoretical density ... 5.12 g cm⁻³

Model Q:
Compound: SnTeP2O
Source: the Alexandria database
Functional: GGA-PBE
Structure: optimized geometry

Lattice parameters (Å, degrees): 5.174 5.174 3.992 90.00 90.00 90.00
Space group P4/mmm (No. 123)
Asymmetric unit:
Sn  0.000  0.000  0.000 x1
Te  0.500  0.500  0.500 x1
P  0.000  0.500  0.500 x2
O  0.500  0.500  0.000 x1

Properties
Size of the total moment ... 0.00 μB per atom
DOS at the Fermi energy ... 0.877 states/eV/atom
Theoretical density ... 5.04 g cm⁻³

Model R:
Compound: SnTeP2O
Source: the Alexandria database
Functional: GGA-PBE
Structure: optimized geometry

Lattice parameters (Å, degrees): 4.894 4.894 6.192 90.00 90.00 90.00
Space group P4/mmm (No. 123)
Asymmetric unit:
Sn  0.000  0.000  0.000 x1
Te  0.000  0.000  0.500 x1
P  0.000  0.500  0.500 x2
O  0.500  0.500  0.000 x1

Properties
Size of the total moment ... 0.00 μB per atom
DOS at the Fermi energy ... 0.819 states/eV/atom
Theoretical density ... 3.63 g cm⁻³

Which one sits at the bottom of the stability order? model R does.

Model P:
Compound: SnTePO2
Source: the Alexandria database
Functional: GGA-PBE
Structure: optimized geometry

Lattice parameters (Å, degrees): 4.097 4.097 5.350 90.00 90.00 90.00
Space group P4/mmm (No. 123)
Asymmetric unit:
Sn  0.000  0.000  0.000 x1
Te  0.500  0.500  0.500 x1
P  0.500  0.500  0.000 x1
O  0.000  0.500  0.500 x2

Properties
Size of the total moment ... 0.00 μB per atom
DOS at the Fermi energy ... 0.595 states/eV/atom
Theoretical density ... 5.72 g cm⁻³

Model Q:
Compound: SnTePO2
Source: the Alexandria database
Functional: GGA-PBE
Structure: optimized geometry

Lattice parameters (Å, degrees): 4.009 4.009 5.584 90.00 90.00 90.00
Space group P4/mmm (No. 123)
Asymmetric unit:
Sn  0.000  0.000  0.000 x1
Te  0.500  0.500  0.500 x1
P  0.000  0.000  0.500 x1
O  0.000  0.500  0.000 x2

Properties
Size of the total moment ... 0.28 μB per atom
DOS at the Fermi energy ... 0.787 states/eV/atom
Theoretical density ... 5.72 g cm⁻³

Which one sits at the bottom of the stability order? model Q does.

Model P:
Compound: TiSnP2O
Source: the Alexandria database
Functional: GGA-PBE
Structure: optimized geometry

Lattice parameters (Å, degrees): 4.950 4.950 3.732 90.00 90.00 90.00
Space group P4/mmm (No. 123)
Asymmetric unit:
Ti  0.000  0.000  0.000 x1
Sn  0.500  0.500  0.500 x1
P  0.000  0.500  0.000 x2
O  0.000  0.000  0.500 x1

Properties
Size of the total moment ... 0.00 μB per atom
DOS at the Fermi energy ... 0.588 states/eV/atom
Theoretical density ... 4.44 g cm⁻³

Model Q:
Compound: TiSnP2O
Source: the Alexandria database
Functional: GGA-PBE
Structure: optimized geometry

Lattice parameters (Å, degrees): 5.035 5.035 3.894 90.00 90.00 90.00
Space group P4/mmm (No. 123)
Asymmetric unit:
Ti  0.000  0.000  0.000 x1
Sn  0.500  0.500  0.500 x1
P  0.000  0.500  0.500 x2
O  0.500  0.500  0.000 x1

Properties
Size of the total moment ... 0.09 μB per atom
DOS at the Fermi energy ... 0.786 states/eV/atom
Theoretical density ... 4.11 g cm⁻³

Which one sits at the bottom of the stability order? model Q does.